# 1
Pa4Te3N2: relaxed, PBE.

Lattice parameters (Å, degrees): 8.438 8.438 6.391 90.55 90.55 73.70
Element x y z (fractional)
Pa: 0.056 0.684 0.528
Pa: 0.255 0.399 0.071
Pa: 0.316 0.944 0.972
Pa: 0.399 0.255 0.571
Pa: 0.601 0.745 0.429
Pa: 0.684 0.056 0.028
Pa: 0.745 0.601 0.929
Pa: 0.944 0.316 0.472
Te: 0.022 0.766 0.031
Te: 0.234 0.978 0.469
Te: 0.404 0.596 0.750
Te: 0.596 0.404 0.250
Te: 0.766 0.022 0.531
Te: 0.978 0.234 0.969
N: 0.156 0.422 0.407
N: 0.422 0.156 0.907
N: 0.578 0.844 0.093
N: 0.844 0.578 0.593

Summary:
The density of states at the Fermi level comes out at 31.2 states/eV/cell. The symmetry is C2/c (15). As for the uncorrected formation energy: -929 kJ/mol of formula units.


# 2
LaHo2TmS4: relaxed, PBE.

Lattice parameters (Å, degrees): 6.823 3.898 6.902 90.00 108.90 90.00
Element x y z (fractional)
La: 0.000 0.000 0.000
Ho: 0.500 0.000 0.500
Ho: 0.500 0.500 0.000
Tm: 0.000 0.500 0.500
S: 0.254 0.000 0.740
S: 0.263 0.500 0.266
S: 0.737 0.500 0.734
S: 0.746 0.000 0.260

Summary:
The density of states at the Fermi level comes out at 4.8 states/eV/cell. The symmetry is P2/m (10). As for the uncorrected formation energy: -1539 kJ/mol of formula units.